Below is an optimized crystal structure of K2FeRuO6, with properties calculated at the PBE with a Hubbard U level.

POSCAR file:
```
K2FeRuO6
1.0
6.0069 0.0000 0.0000
-3.0035 5.2022 0.0000
0.0000 0.0000 5.1204
K Fe Ru O
2 1 1 6
Cartesian
0.0000 3.4681 1.4349
3.0035 1.7340 3.6855
0.0000 0.0000 0.0000
0.0000 0.0000 2.5602
0.0000 1.5121 3.7529
-1.6940 4.4461 3.7529
1.3095 0.7560 1.3674
1.6940 4.4461 3.7529
4.6974 0.7560 1.3674
3.0035 3.6901 1.3674
```

Its density of states at the Fermi level is 0.38 states/eV per atom. The calculation puts the calculated volume at 16.00 A^3/atom. For the total energy, the calculation gives -57.67 eV per formula unit.